1.
VASP calculation (GGA-PBE) on crystalline GdErMgMn at its relaxed geometry.

Cell lengths 5.176, 5.176, 5.176 Å; angles 60.00, 60.00, 60.00 degrees
Each line ends with the local moment (μB).
Positions (direct):
1 Er 0.750 0.750 0.750  0.25
2 Gd 0.250 0.250 0.250  7.25
3 Mn 0.500 0.500 0.500  -3.62
4 Mg 0.000 0.000 0.000  0.01

Summary:
Formation enthalpy at 0 K = 0.083 eV per atom
Uncorrected energy = -7.2689 eV/atom
Total magnetic moment = 4.06 μB per formula unit

=====

2.
VASP calculation (GGA-PBE) on crystalline Li2CoAs at its relaxed geometry.

Cell lengths 4.093, 2.795, 5.182 Å; angles 74.55, 90.00, 90.00 degrees
Each line ends with the local moment (μB).
Positions (direct):
1 Li 0.000 0.953 0.972  -0.01
2 As 0.000 0.675 0.524  -0.01
3 Co 0.500 0.572 0.732  0.97
4 Li 0.500 0.299 0.272  0.00

Summary:
Formation enthalpy at 0 K = -0.163 eV per atom
Uncorrected energy = -4.0592 eV/atom
Total magnetic moment = 0.95 μB per formula unit

=====

3.
VASP calculation (GGA-PBE) on crystalline As5Pb3S10 at its relaxed geometry.

Cell lengths 8.108, 9.370, 24.606 Å; angles 84.46, 90.00, 90.00 degrees
Positions (direct):
1 As 0.734 0.921 0.937
2 As 0.234 0.579 0.563
3 As 0.175 0.185 0.544
4 Pb 0.783 0.752 0.790
5 As 0.766 0.421 0.437
6 S 0.452 0.464 0.236
7 S 0.436 0.256 0.094
8 S 0.936 0.244 0.406
9 S 0.141 0.825 0.989
10 S 0.000 0.441 0.279
11 S 0.739 0.693 0.187
12 S 0.889 0.989 0.863
13 S 0.548 0.536 0.764
14 As 0.908 0.009 0.658
15 S 0.500 0.059 0.221
16 S 0.359 0.325 0.489
17 As 0.325 0.685 0.044
18 As 0.637 0.122 0.142
19 Pb 0.283 0.748 0.710
20 S 0.261 0.307 0.813
21 S 0.952 0.036 0.264
22 As 0.266 0.079 0.063
23 Pb 0.394 0.700 0.413
24 As 0.972 0.652 0.952
25 S 0.564 0.744 0.906
26 S 0.064 0.756 0.594
27 S 0.214 0.681 0.832
28 S 0.968 0.617 0.423
29 S 0.500 0.941 0.779
30 As 0.592 0.509 0.158
31 As 0.137 0.378 0.358
32 S 0.111 0.011 0.137
33 S 0.188 0.435 0.980
34 S 0.048 0.964 0.736
35 S 0.641 0.675 0.511
36 Pb 0.344 0.801 0.191
37 S 0.761 0.193 0.687
38 As 0.675 0.315 0.956
39 S 0.032 0.383 0.577
40 As 0.528 0.152 0.452
41 As 0.408 0.491 0.842
42 S 0.812 0.565 0.020
43 S 0.859 0.175 0.011
44 As 0.472 0.848 0.548
45 Pb 0.217 0.248 0.210
46 As 0.092 0.991 0.342
47 S 0.341 0.114 0.616
48 S 0.389 0.511 0.637
49 S 0.532 0.117 0.923
50 S 0.659 0.886 0.384
51 Pb 0.606 0.300 0.587
52 S 0.611 0.489 0.363
53 Pb 0.656 0.199 0.809
54 S 0.286 0.181 0.332
55 Pb 0.844 0.699 0.309
56 Pb 0.717 0.252 0.290
57 As 0.825 0.815 0.456
58 S 0.239 0.807 0.313
59 S 0.312 0.935 0.480
60 Pb 0.894 0.800 0.087
61 S 0.688 0.065 0.520
62 S 0.159 0.614 0.116
63 Pb 0.106 0.200 0.913
64 S 0.000 0.559 0.721
65 S 0.714 0.819 0.668
66 As 0.028 0.348 0.048
67 S 0.468 0.883 0.077
68 S 0.786 0.319 0.168
69 As 0.363 0.878 0.858
70 As 0.863 0.622 0.642
71 S 0.841 0.386 0.884
72 Pb 0.156 0.301 0.691

Summary:
Uncorrected energy = -4.4493 eV/atom
ΔE to the lowest computed polymorph = 0.000 eV per atom
Total magnetic moment = 0.00 μB per formula unit
E_form (uncorrected) = -5.7 kcal/mol of atoms

=====

4.
VASP calculation (GGA-PBE) on crystalline Tm12Al2In5 at its relaxed geometry.

Cell lengths 10.356, 8.200, 7.872 Å; angles 82.10, 90.00, 129.16 degrees
Positions (direct):
1 Tm 0.434 0.869 0.710
2 In 0.659 0.318 0.906
3 Tm 0.632 0.783 0.379
4 Al 0.296 0.000 0.000
5 In 0.248 0.496 0.480
6 Tm 0.151 0.783 0.379
7 Tm 0.364 0.325 0.194
8 Tm 0.961 0.325 0.194
9 Tm 0.126 0.253 0.869
10 In 0.000 0.000 0.500
11 In 0.341 0.682 0.094
12 Tm 0.368 0.217 0.621
13 Tm 0.566 0.131 0.290
14 Tm 0.039 0.675 0.806
15 Al 0.704 0.000 0.000
16 Tm 0.636 0.675 0.806
17 In 0.752 0.504 0.520
18 Tm 0.874 0.747 0.131
19 Tm 0.849 0.217 0.621

Summary:
Formation enthalpy at 0 K = -0.208 eV per atom
Uncorrected energy = -4.1462 eV/atom
Total magnetic moment = 0.00 μB per formula unit